[1]
GGA-PBE K3As5, relaxed; space group = P6_3/mcm (193); mass density = 3.3 Mg/m³; total moment = 0.00 μB/f.u.; ΔH_f (0 K) = -0.104 eV per atom; ΔE to the lowest computed polymorph = 0.000 eV per atom; total energy = -3.42 eV/atom
1.0
10.573 0.000 0.000
-5.286 9.156 0.000
0.000 0.000 5.148
K As
6 10
Direct
0.367 0.367 0.250
0.000 0.367 0.750
0.000 0.633 0.250
0.633 0.633 0.750
0.633 0.000 0.250
0.367 0.000 0.750
0.858 0.858 0.250
0.333 0.667 0.000
0.667 0.333 0.000
0.000 0.142 0.250
0.858 0.000 0.750
0.000 0.858 0.750
0.333 0.667 0.500
0.667 0.333 0.500
0.142 0.000 0.250
0.142 0.142 0.750

=====

[2]
GGA-PBE K3As5, relaxed; space group = Cmmm (65); mass density = 4.3 Mg/m³; total moment = 0.00 μB/f.u.; ΔH_f (0 K) = 0.069 eV per atom; ΔE to the lowest computed polymorph = 0.173 eV per atom; total energy = -3.25 eV/atom
1.0
-0.774 6.571 0.478
-6.518 -1.188 0.332
0.273 -0.284 4.352
K As
3 5
Direct
0.742 0.742 0.500
0.258 0.258 0.500
0.500 0.500 0.000
0.000 0.500 0.000
0.776 0.224 0.500
0.000 0.000 0.000
0.500 0.000 0.000
0.224 0.776 0.500

=====

[3]
GGA-PBE KAs4, relaxed; space group = Pm-3m (221); mass density = 3.7 Mg/m³; total moment = 0.00 μB/f.u.; ΔH_f (0 K) = 1.812 eV per atom; ΔE to the lowest computed polymorph = 1.792 eV per atom; total energy = -2.13 eV/atom
1.0
-0.109 -4.403 -3.038
4.700 -1.530 2.049
-2.555 -2.627 3.899
As K
4 1
Direct
0.000 0.000 0.000
0.500 0.000 0.500
0.500 0.500 0.000
0.000 0.500 0.500
0.500 0.500 0.500